Computed, not measured: a relaxed structure of CuTe2Au at the PBE level of DFT.

Computed properties:
symmetry	No. 166
magnetization	0.00	μB per formula unit
density	7.9	Mg/m³
energy relative to the elements, uncorrected	0.0744	eV/atom

a = 8.409 Å, b = 8.409 Å, c = 8.409 Å
α = 27.07°, β = 27.07°, γ = 27.07°
Positions (direct):
Cu1 0.000 0.000 0.000
Te1 0.393 0.393 0.393
Te2 0.607 0.607 0.607
Au1 0.500 0.500 0.500

---

Computed, not measured: a relaxed structure of RbTl2HgF6 at the PBE level of DFT.

Computed properties:
symmetry	No. 14
magnetization	0.00	μB per formula unit
density	6.6	Mg/m³
energy relative to the elements, uncorrected	-1.8353	eV/atom

a = 6.366 Å, b = 6.909 Å, c = 11.164 Å
α = 90.00°, β = 124.44°, γ = 90.00°
Positions (direct):
Rb1 0.000 0.000 0.000
Rb2 0.000 0.500 0.500
Tl1 0.218 0.030 0.725
Tl2 0.218 0.470 0.225
Tl3 0.782 0.530 0.775
Tl4 0.782 0.970 0.275
Hg1 0.500 0.000 0.500
Hg2 0.500 0.500 0.000
F1 0.160 0.142 0.484
F2 0.160 0.358 0.984
F3 0.176 0.742 0.856
F4 0.176 0.758 0.356
F5 0.453 0.144 0.290
F6 0.453 0.356 0.790
F7 0.547 0.644 0.210
F8 0.547 0.856 0.710
F9 0.824 0.242 0.644
F10 0.824 0.258 0.144
F11 0.840 0.642 0.016
F12 0.840 0.858 0.516

---

Computed, not measured: a relaxed structure of Ti2TeH at the PBE level of DFT.

Computed properties:
symmetry	No. 64
magnetization	0.00	μB per formula unit
density	6.2	Mg/m³
ΔE to the lowest computed polymorph	26	meV/atom

a = 6.225 Å, b = 6.225 Å, c = 7.800 Å
α = 90.00°, β = 90.00°, γ = 127.36°
Positions (direct):
Ti1 0.095 0.405 0.750
Ti2 0.104 0.896 0.902
Ti3 0.396 0.604 0.402
Ti4 0.405 0.095 0.250
Ti5 0.595 0.905 0.750
Ti6 0.604 0.396 0.598
Ti7 0.896 0.104 0.098
Ti8 0.905 0.595 0.250
Te1 0.156 0.844 0.560
Te2 0.344 0.656 0.060
Te3 0.656 0.344 0.940
Te4 0.844 0.156 0.440
H1 0.061 0.939 0.140
H2 0.439 0.561 0.640
H3 0.561 0.439 0.360
H4 0.939 0.061 0.860

---

Computed, not measured: a relaxed structure of Er2ThAg3 at the PBE level of DFT.

Computed properties:
symmetry	No. 123
magnetization	0.00	μB per formula unit
ΔE_f	-0.23	eV/atom
density	10.2	Mg/m³

a = 3.571 Å, b = 3.571 Å, c = 11.415 Å
α = 90.00°, β = 90.00°, γ = 90.00°
Positions (direct):
Er1 0.000 0.000 0.159
Er2 0.000 0.000 0.841
Th1 0.000 0.000 0.500
Ag1 0.500 0.500 0.000
Ag2 0.500 0.500 0.314
Ag3 0.500 0.500 0.686

---

Computed, not measured: a relaxed structure of CeThSi3 at the PBE level of DFT.

Computed properties:
symmetry	No. 63
magnetization	0.00	μB per formula unit
density	7.0	Mg/m³
energy relative to the elements, uncorrected	-0.6608	eV/atom

a = 12.651 Å, b = 12.651 Å, c = 4.066 Å
α = 90.00°, β = 90.00°, γ = 160.60°
Positions (direct):
Ce1 0.069 0.931 0.750
Ce2 0.931 0.069 0.250
Th1 0.202 0.798 0.250
Th2 0.798 0.202 0.750
Si1 0.328 0.672 0.250
Si2 0.384 0.616 0.750
Si3 0.477 0.523 0.750
Si4 0.523 0.477 0.250
Si5 0.616 0.384 0.250
Si6 0.672 0.328 0.750

---

Computed, not measured: a relaxed structure of AlTe2Br at the PBE level of DFT.

Computed properties:
symmetry	No. 139
magnetization	0.00	μB per formula unit
density	4.5	Mg/m³
energy relative to the elements, uncorrected	0.0408	eV/atom
ΔE to the lowest computed polymorph	418	meV/atom

a = 7.924 Å, b = 7.924 Å, c = 7.924 Å
α = 148.92°, β = 148.92°, γ = 44.53°
Positions (direct):
Al1 0.000 0.000 0.000
Te1 0.250 0.750 0.500
Te2 0.750 0.250 0.500
Br1 0.500 0.500 0.000